A plane-wave DFT calculation with PBE was carried out for an optimized crystal structure of GdYBr.

* energy: -8.166 eV per atom
* SG: No. 156
* formation energy without anion corrections: -0.760 eV/atom

abc: 3.753 3.753 7.281
angles: 90.00 90.00 120.00
Each line ends with the local moment (μB).
Fractional coordinates of all 3 atoms:
Gd: 0.333 0.667 0.652  7.17
Br: 0.667 0.333 0.330  -0.01
Y: 0.000 0.000 0.018  0.06

---

A plane-wave DFT calculation with PBE was carried out for an optimized crystal structure of Gd2YBr.

* energy: -9.617 eV per atom
* SG: No. 166
* formation energy without anion corrections: -0.542 eV/atom
* distance to the lowest polymorph of the same formula: 0 meV/atom

abc: 3.690 3.690 10.542
angles: 79.92 79.92 60.00
Each line ends with the local moment (μB).
Fractional coordinates of all 4 atoms:
Br: 0.000 0.000 0.000  -0.01
Y: 0.500 0.500 0.500  0.03
Gd: 0.742 0.742 0.774  7.13
Gd: 0.258 0.258 0.226  7.13

---

A plane-wave DFT calculation with PBE was carried out for an optimized crystal structure of Gd2YBr.

* energy: -9.538 eV per atom
* SG: No. 123
* formation energy without anion corrections: -0.463 eV/atom
* distance to the lowest polymorph of the same formula: 79 meV/atom

abc: 3.554 3.554 9.588
angles: 90.00 90.00 90.00
Each line ends with the local moment (μB).
Fractional coordinates of all 4 atoms:
Y: 0.500 0.500 0.500  -0.02
Gd: 0.000 0.000 0.235  7.20
Br: 0.500 0.500 0.000  -0.01
Gd: 0.000 0.000 0.765  7.20

---

A plane-wave DFT calculation with PBE was carried out for an optimized crystal structure of GdY2Br.

* energy: -7.697 eV per atom
* SG: No. 166
* formation energy without anion corrections: -0.526 eV/atom

abc: 3.665 3.665 10.443
angles: 79.89 79.89 60.00
Each line ends with the local moment (μB).
Fractional coordinates of all 4 atoms:
Br: 0.000 0.000 0.000  0.00
Y: 0.258 0.258 0.226  -0.01
Gd: 0.500 0.500 0.500  7.16
Y: 0.742 0.742 0.774  -0.01

---

A plane-wave DFT calculation with PBE was carried out for an optimized crystal structure of GeBr.

* energy: -3.337 eV per atom
* SG: No. 44
* formation energy without anion corrections: -0.192 eV/atom
* distance to the lowest polymorph of the same formula: 15 meV/atom

abc: 4.304 9.053 6.041
angles: 90.00 90.00 90.00
Fractional coordinates of all 8 atoms:
Br: 0.500 0.192 0.886
Ge: 0.000 0.000 0.329
Br: 0.500 0.808 0.886
Br: 0.000 0.308 0.386
Ge: 0.500 0.000 0.580
Ge: 0.500 0.500 0.829
Ge: 0.000 0.500 0.080
Br: 0.000 0.692 0.386

---

A plane-wave DFT calculation with PBE was carried out for an optimized crystal structure of GeBr.

* energy: -3.200 eV per atom
* SG: No. 59
* formation energy without anion corrections: -0.055 eV/atom
* distance to the lowest polymorph of the same formula: 152 meV/atom

abc: 4.222 6.686 13.524
angles: 90.00 90.00 90.00
Fractional coordinates of all 12 atoms:
Br: 0.000 0.759 0.199
Ge: 0.000 0.832 0.000
Br: 0.000 0.618 0.500
Ge: 0.500 0.168 0.500
Br: 0.500 0.241 0.301
Br: 0.000 0.759 0.801
Br: 0.500 0.382 0.000
Ge: 0.500 0.041 0.103
Ge: 0.500 0.041 0.897
Br: 0.500 0.241 0.699
Ge: 0.000 0.959 0.603
Ge: 0.000 0.959 0.397